Entry from the Alexandria database: crystalline Tc2CCl2 at its relaxed geometry (GGA-PBE).

Cell lengths 5.6125, 5.6125, 4.7478 Å; angles 90.00, 90.00, 90.00 degrees
Closest atoms and distances in Å follow each position.
Space group P4/mbm (No. 127)
Symmetry-distinct sites (fractional):
Tc  0.1691  0.3309  0.0000  2 C 2.09
C  0.0000  0.0000  0.0000  4 Tc 2.09
Cl  0.1822  0.3178  0.5000  2 Tc 2.38

Output
Relative energy among the computed polymorphs in meV per atom: 0
Spin magnetization in μB per atom: 0.00
Formation energy (no corrections) in eV per atom: 0.3433